# In2HgP

In2HgP after structural relaxation (GGA-PBE, the Alexandria database).

```
4
Lattice="5.135 0.000 0.000 2.568 4.447 0.000 2.568 1.482 4.193" Properties=species:S:1:pos:R:3 pbc="T T T"
In 2.568 1.482 1.048
In 0.000 0.000 0.000
Hg 5.135 2.965 2.097
P 7.703 4.447 3.145
```

**Energy of formation**: 0.279 eV per atom
**Raw total energy**: -10.07 eV for the cell shown
**Size of the total moment**: 0.000 μB/cell

---

# NiTeWI2

NiTeWI2 after structural relaxation (GGA-PBE, the Alexandria database).

```
5
Lattice="-4.716 0.741 3.066 -3.125 -0.351 -4.723 -0.390 -5.135 0.640" Properties=species:S:1:pos:R:3 pbc="T T T"
Te -0.195 -2.568 0.320
I -1.562 -0.176 -2.361
I -2.358 0.370 1.533
Ni -4.116 -2.373 -0.508
W 0.000 0.000 0.000
```

**Raw total energy**: -19.05 eV for the cell shown
**Size of the total moment**: 3.232 μB/cell

---

# In4BiPb6

In4BiPb6 after structural relaxation (GGA-PBE, the Alexandria database).

```
11
Lattice="-1.563 -4.347 4.575 6.247 -0.396 1.758 -3.500 8.593 2.349" Properties=species:S:1:pos:R:3 pbc="T T T"
Bi 2.342 -2.371 3.166
In 2.871 -1.191 6.286
In 0.772 4.886 3.088
In -2.301 3.331 4.196
In 1.027 0.675 3.794
Pb -2.295 5.939 1.967
Pb -0.431 -1.841 5.615
Pb 0.637 2.970 5.931
Pb -0.781 -2.173 2.288
Pb 4.458 0.633 3.851
Pb 3.123 -0.198 0.879
```

**Energy of formation**: 0.104 eV per atom
**Raw total energy**: -35.94 eV for the cell shown
**Size of the total moment**: 0.000 μB/cell

---

# CsRbO2F

CsRbO2F after structural relaxation (GGA-PBE, the Alexandria database).

```
5
Lattice="-0.373 0.352 5.208 -5.157 -0.836 -0.313 0.814 -5.175 0.408" Properties=species:S:1:pos:R:3 pbc="T T T"
O -0.187 0.176 2.604
O -2.578 -0.418 -0.157
Rb 0.000 0.000 0.000
F 0.407 -2.588 0.204
Cs -2.358 -2.830 2.652
```

**Raw total energy**: -16.92 eV for the cell shown
**Size of the total moment**: 2.847 μB/cell

---

# Ho2Al2Au

Ho2Al2Au after structural relaxation (GGA-PBE, the Alexandria database).

```
10
Lattice="-2.457 3.226 1.884 -2.171 -1.559 5.145 6.540 5.261 4.827" Properties=species:S:1:pos:R:3 pbc="T T T"
Al -0.924 4.143 7.620
Al -0.495 1.526 2.047
Al 2.835 2.785 4.235
Al 2.406 5.402 9.808
Ho 3.007 7.271 7.390
Ho -0.219 3.416 4.478
Ho 2.131 3.513 7.377
Ho -1.096 -0.343 4.465
Au 2.561 5.281 4.909
Au -0.649 1.647 6.946
```

**Energy of formation**: -0.627 eV per atom
**Raw total energy**: -46.11 eV for the cell shown
**Size of the total moment**: 0.000 μB/cell

---

# Li2Tb2Pd3

Li2Tb2Pd3 after structural relaxation (GGA-PBE, the Alexandria database).

```
7
Lattice="4.549 0.000 0.000 0.000 6.219 0.395 -2.275 -1.196 4.652" Properties=species:S:1:pos:R:3 pbc="T T T"
Li 2.275 2.696 3.840
Li 0.000 2.327 1.207
Pd 0.000 0.000 0.000
Pd 0.000 3.726 3.337
Pd 2.275 1.298 1.710
Tb 0.000 0.302 3.446
Tb 2.275 4.721 1.601
```

**Energy of formation**: -0.612 eV per atom
**Raw total energy**: -32.95 eV for the cell shown
**Size of the total moment**: 0.000 μB/cell

---

# AgBS3

AgBS3 after structural relaxation (GGA-PBE, the Alexandria database).

```
20
Lattice="5.725 0.000 0.000 0.000 7.302 0.000 0.000 0.000 9.229" Properties=species:S:1:pos:R:3 pbc="T T T"
S 3.021 1.140 6.922
S 5.297 6.809 5.554
S 3.290 3.158 3.676
S 5.566 4.791 2.307
S 5.297 6.809 8.290
S 2.704 6.162 2.307
S 2.434 4.144 8.290
S 0.158 2.511 6.922
S 2.434 4.144 5.554
S 3.290 3.158 0.939
S 0.428 0.493 0.939
S 0.428 0.493 3.676
Ag 0.000 3.651 0.000
Ag 2.862 0.000 0.000
Ag 0.000 3.651 4.615
Ag 2.862 0.000 4.615
B 2.161 2.834 6.922
B 0.702 6.485 2.307
B 5.023 0.817 6.922
B 3.564 4.468 2.307
```

**Raw total energy**: -88.94 eV for the cell shown
**Size of the total moment**: 0.000 μB/cell

---

# PmTm2In2

PmTm2In2 after structural relaxation (GGA-PBE, the Alexandria database).

```
10
Lattice="3.720 0.000 -0.498 0.000 5.378 0.000 -0.027 0.000 13.935" Properties=species:S:1:pos:R:3 pbc="T T T"
Tm 0.180 4.033 1.337
Tm 0.869 4.033 6.495
Tm 2.824 1.344 6.941
Tm 3.513 1.344 12.099
In 2.386 4.033 3.693
In 1.307 1.344 9.743
In 1.659 4.033 12.406
In 2.034 1.344 1.031
Pm 3.154 4.033 9.389
Pm 0.539 1.344 4.048
```

**Energy of formation**: -0.363 eV per atom
**Raw total energy**: -41.97 eV for the cell shown
**Size of the total moment**: 0.000 μB/cell

---

# CaFeGe2Ru

CaFeGe2Ru after structural relaxation (GGA-PBE, the Alexandria database).

```
5
Lattice="-0.158 0.381 4.049 -1.581 -3.739 0.291 5.776 -0.367 -1.786" Properties=species:S:1:pos:R:3 pbc="T T T"
Fe 2.375 -0.832 2.216
Ru 1.663 -2.892 0.337
Ge 0.352 -2.188 2.265
Ge 3.686 -1.536 0.288
Ca 0.000 0.000 0.000
```

**Energy of formation**: -0.410 eV per atom
**Raw total energy**: -31.03 eV for the cell shown
**Size of the total moment**: 1.820 μB/cell

---

# Rb2SmF6

Rb2SmF6 after structural relaxation (GGA-PBE, the Alexandria database).

```
9
Lattice="4.120 0.000 -0.020 0.000 6.689 0.000 -1.602 -3.344 6.519" Properties=species:S:1:pos:R:3 pbc="T T T"
Rb 0.322 0.000 4.314
Rb 2.196 3.344 2.185
F 2.379 -1.906 4.704
F 2.060 5.400 -0.010
F 2.060 1.289 -0.010
F 0.139 5.251 1.795
F 0.139 1.438 1.795
F 2.379 1.906 4.704
Sm 0.000 0.000 0.000
```

**Raw total energy**: -45.31 eV for the cell shown
**Size of the total moment**: 1.063 μB/cell

---

# CsGeO2F

CsGeO2F after structural relaxation (GGA-PBE, the Alexandria database).

```
5
Lattice="-3.250 2.403 -2.087 -3.001 -1.319 3.154 1.189 4.068 2.833" Properties=species:S:1:pos:R:3 pbc="T T T"
O -1.501 -0.660 1.577
O -1.625 1.202 -1.044
Ge -2.531 2.576 1.950
F 0.594 2.034 1.417
Cs 0.000 0.000 0.000
```

**Raw total energy**: -16.29 eV for the cell shown
**Size of the total moment**: 0.000 μB/cell

---

# MnPIrS2

MnPIrS2 after structural relaxation (GGA-PBE, the Alexandria database).

```
5
Lattice="-3.188 -3.726 -0.352 3.419 -3.087 1.717 -1.340 0.764 4.043" Properties=species:S:1:pos:R:3 pbc="T T T"
Ir 0.000 0.000 0.000
S -1.594 -1.863 -0.176
S 1.709 -1.544 0.858
P -0.670 0.382 2.021
Mn -0.554 -3.025 2.704
```

**Raw total energy**: -28.56 eV for the cell shown
**Size of the total moment**: 4.794 μB/cell